(1)
VASP calculation (GGA-PBE) on a relaxed Hf2Sc2Ga7 crystal.

a = 9.4969 Å, b = 7.7719 Å, c = 6.4540 Å
α = 90.00°, β = 90.01°, γ = 90.00°
Space group C2/m (No. 12)
One atom of each set of equivalent atoms:
Hf (0.2030, 0.0000, 0.9995)
Sc (0.0000, 0.3174, 0.5000)
Ga (0.0000, 0.5000, 0.0000)
Ga (0.0006, 0.0000, 0.3055)
Ga (0.2498, 0.2496, 0.2946)

Values from the calculation:
**Calculated total energy**: -106.8 eV per cell
**Density**: 6.52 g/cm³
**E_form**: 32 kJ/mol of formula units
**Total magnetization**: 0.20 μB per formula unit
**Crystal system**: monoclinic

***

(2)
VASP calculation (GGA-PBE) on a relaxed HfSc2Ga4 crystal.

a = 5.0305 Å, b = 5.0305 Å, c = 14.0753 Å
α = 90.00°, β = 90.00°, γ = 90.00°
Space group I4/mmm (No. 139)
One atom of each set of equivalent atoms:
Hf (0.0000, 0.0000, 0.0000)
Sc (0.0000, 0.0000, 0.3912)
Ga (0.0000, 0.0000, 0.1915)
Ga (0.0000, 0.5000, 0.0000)

Values from the calculation:
**Calculated total energy**: -67.8 eV per cell
**Density**: 5.10 g/cm³
**E_form**: 82 kJ/mol of formula units
**Total magnetization**: 0.00 μB per formula unit
**Crystal system**: tetragonal

***

(3)
VASP calculation (GGA-PBE) on a relaxed Hf3Sc4Ga4 crystal.

a = 3.1930 Å, b = 8.5516 Å, c = 16.5798 Å
α = 90.00°, β = 90.00°, γ = 90.00°
Space group Immm (No. 71)
One atom of each set of equivalent atoms:
Hf (0.0000, 0.0000, 0.0000)
Hf (0.0000, 0.5000, 0.0929)
Sc (0.0000, 0.3151, 0.3370)
Ga (0.0000, 0.0000, 0.2701)
Ga (0.0000, 0.2228, 0.5000)

Values from the calculation:
**Calculated total energy**: -142.1 eV per cell
**Density**: 7.29 g/cm³
**E_form**: -361 kJ/mol of formula units
**Total magnetization**: 0.00 μB per formula unit
**Crystal system**: orthorhombic

***

(4)
VASP calculation (GGA-PBE) on a relaxed HfSc5Ga3 crystal.

a = 8.3476 Å, b = 8.3476 Å, c = 6.0449 Å
α = 90.00°, β = 90.00°, γ = 120.00°
Space group P6_3/mcm (No. 193)
One atom of each set of equivalent atoms:
Hf (0.0000, 0.0000, 0.0000)
Sc (0.0000, 0.3312, 0.2500)
Sc (0.3333, 0.6667, 0.0000)
Ga (0.0000, 0.3345, 0.7500)

Values from the calculation:
**Calculated total energy**: -109.5 eV per cell
**Density**: 5.58 g/cm³
**E_form**: -391 kJ/mol of formula units
**Total magnetization**: 0.83 μB per formula unit
**Crystal system**: hexagonal

***

Question: Which of these has the highest E_form?
Answer: HfSc2Ga4